*a*
SmBiO after structural relaxation. Source: Alexandria via LeMat-Bulk, functional PBE-GGA.

a b c (Å): 3.6847 3.6847 20.0665
angles (deg): 90.00 90.00 120.00
Space group R3m (No. 160, hexagonal axes)
Asymmetric unit:
Sm 0.0000 0.0000 0.0000 [3 per cell]
Bi 0.0000 0.0000 0.8138 [3 per cell]
O 0.0000 0.0000 0.6361 [3 per cell]

The value obtained for the density of states at the Fermi level is 0.548 states/eV per atom.

*b*
SmBiO after structural relaxation. Source: Alexandria via LeMat-Bulk, functional PBE-GGA.

a b c (Å): 3.9243 3.9243 10.7569
angles (deg): 90.00 90.00 120.00
Space group P-3m1 (No. 164)
Asymmetric unit:
Sm 0.3333 0.6667 0.3628 [2 per cell]
Bi 0.3333 0.6667 0.8960 [2 per cell]
O 0.3333 0.6667 0.5834 [2 per cell]

The value obtained for the density of states at the Fermi level is 0.414 states/eV per atom.

*b* wins, 8.2 kJ/mol of atoms ahead of the next structure.